Record 1
Compound: La6Ga2GeBr3
Source: Alexandria via LeMat-Bulk
Functional: PBE
Structure: relaxed

Computed properties:
**Raw formation energy**: -1.05 eV/atom
**Space-group type**: C2/m (12)

Cell lengths 7.7449, 7.7449, 7.6071 Å; angles 99.76, 99.76, 120.02 degrees
Last column: nearest neighbours and their distance in Å.
Fractional coordinates of all 12 atoms:
La1 0.0760 0.4071 0.2278  1 Ge 3.04, 2 Ga 3.06, 3 Br 3.23-3.26
La2 0.2560 0.2560 0.7733  1 Ge 3.04, 2 Ga 3.06, 3 Br 3.23-3.25
La3 0.4071 0.0760 0.2278  1 Ge 3.04, 2 Ga 3.06, 3 Br 3.23-3.26
La4 0.5929 0.9240 0.7722  1 Ge 3.04, 2 Ga 3.06, 3 Br 3.23-3.26
La5 0.7440 0.7440 0.2267  1 Ge 3.04, 2 Ga 3.06, 3 Br 3.23-3.25
La6 0.9240 0.5929 0.7722  1 Ge 3.04, 2 Ga 3.06, 3 Br 3.23-3.26
Ga1 0.3329 0.6671 0.0000  6 La 3.06
Ga2 0.6671 0.3329 0.0000  6 La 3.06
Ge1 0.0000 0.0000 0.0000  6 La 3.04
Br1 0.1659 0.8341 0.5000  6 La 3.23-3.26
Br2 0.5000 0.5000 0.5000  6 La 3.23-3.25
Br3 0.8341 0.1659 0.5000  6 La 3.23-3.26

***

Record 2
Compound: LiZrInSn
Source: Alexandria via LeMat-Bulk
Functional: PBE
Structure: relaxed

Computed properties:
**Formation energy from the elements**: -0.348 eV/atom
**Space-group type**: Pmmm (47)

Cell lengths 4.1663, 4.4107, 4.5529 Å; angles 90.00, 90.00, 90.00 degrees
Last column: nearest neighbours and their distance in Å.
Fractional coordinates of all 4 atoms:
Li1 0.0000 0.0000 0.0000  4 In 3.03, 4 Sn 3.09, 4 Zr 3.17
Zr1 0.0000 0.5000 0.5000  4 Sn 3.03, 4 In 3.09, 4 Li 3.17
In1 0.5000 0.5000 0.0000  4 Li 3.03, 4 Zr 3.09, 4 Sn 3.17
Sn1 0.5000 0.0000 0.5000  4 Zr 3.03, 4 Li 3.09, 4 In 3.17

***

Record 3
Compound: ZnRh2Au
Source: Alexandria via LeMat-Bulk
Functional: PBE
Structure: relaxed

Computed properties:
**Formation energy from the elements**: 0.033 eV/atom
**Space-group type**: F-43m (216)

Cell lengths 4.4252, 4.4252, 4.4252 Å; angles 60.00, 60.00, 60.00 degrees
Last column: nearest neighbours and their distance in Å.
Fractional coordinates of all 4 atoms:
Zn1 0.0000 0.0000 0.0000  4 Au 2.71, 4 Rh 2.71
Rh1 0.2500 0.2500 0.2500  4 Rh 2.71, 4 Zn 2.71
Rh2 0.5000 0.5000 0.5000  4 Au 2.71, 4 Rh 2.71
Au1 0.7500 0.7500 0.7500  4 Rh 2.71, 4 Zn 2.71

***

Size of the total moment across the listed records, respectively: 0.000; 0.000; 1.163 Bohr magnetons per cell.